[1]
Entry from Alexandria: a relaxed structure of Pr3Mg2Al (PBE).

a = 3.828 Å, b = 3.828 Å, c = 11.771 Å
α = 90.00°, β = 90.00°, γ = 90.00°
Fractional coordinates of all 6 atoms:
Pr1 0.000 0.000 0.000
Pr2 0.000 0.000 0.346
Pr3 0.000 0.000 0.654
Mg1 0.500 0.500 0.170
Mg2 0.500 0.500 0.830
Al1 0.500 0.500 0.500

Results
The calculation puts the formation energy from the elements at -187 meV/atom. The volume comes out at 172.5 Å³ per cell. The symmetry is P4/mmm.



[2]
Entry from Alexandria: a relaxed structure of Ac2NdGe (PBE).

a = 5.150 Å, b = 5.150 Å, c = 4.924 Å
α = 90.00°, β = 90.00°, γ = 90.00°
Fractional coordinates of all 4 atoms:
Ac1 0.000 0.500 0.000
Ac2 0.500 0.000 0.000
Nd1 0.000 0.000 0.500
Ge1 0.500 0.500 0.500

Results
The calculation puts the formation energy from the elements at -217 meV/atom. The volume comes out at 130.6 Å³ per cell. The symmetry is P4/mmm.



[3]
Entry from Alexandria: a relaxed structure of PuSi4Pt2 (PBE).

a = 16.853 Å, b = 4.178 Å, c = 6.562 Å
α = 90.00°, β = 90.00°, γ = 90.00°
Fractional coordinates of all 28 atoms:
Pu1 0.143 0.250 0.016
Pu2 0.357 0.750 0.516
Pu3 0.643 0.250 0.484
Pu4 0.857 0.750 0.984
Si1 0.038 0.750 0.871
Si2 0.063 0.250 0.453
Si3 0.182 0.750 0.313
Si4 0.193 0.750 0.732
Si5 0.307 0.250 0.232
Si6 0.318 0.250 0.813
Si7 0.437 0.750 0.953
Si8 0.462 0.250 0.371
Si9 0.538 0.750 0.629
Si10 0.563 0.250 0.047
Si11 0.682 0.750 0.187
Si12 0.693 0.750 0.768
Si13 0.807 0.250 0.268
Si14 0.818 0.250 0.687
Si15 0.937 0.750 0.547
Si16 0.962 0.250 0.129
Pt1 0.025 0.750 0.255
Pt2 0.205 0.250 0.525
Pt3 0.295 0.750 0.025
Pt4 0.475 0.250 0.755
Pt5 0.525 0.750 0.245
Pt6 0.705 0.250 0.975
Pt7 0.795 0.750 0.475
Pt8 0.975 0.250 0.745

Results
For the uncorrected formation energy, the calculation gives -0.617 eV/atom. The volume comes out at 462.0 Å³ per cell. The symmetry is Pnma.



[4]
Entry from Alexandria: a relaxed structure of NdAlNi5 (PBE).

a = 7.962 Å, b = 4.870 Å, c = 10.092 Å
α = 90.00°, β = 90.00°, γ = 90.00°
Fractional coordinates of all 28 atoms:
Nd1 0.247 0.250 0.057
Nd2 0.253 0.750 0.557
Nd3 0.747 0.250 0.443
Nd4 0.753 0.750 0.943
Al1 0.143 0.750 0.857
Al2 0.357 0.250 0.357
Al3 0.643 0.750 0.643
Al4 0.857 0.250 0.143
Ni1 0.053 0.750 0.096
Ni2 0.066 0.005 0.305
Ni3 0.066 0.495 0.305
Ni4 0.096 0.250 0.516
Ni5 0.186 0.250 0.751
Ni6 0.314 0.750 0.251
Ni7 0.404 0.750 0.016
Ni8 0.434 0.505 0.805
Ni9 0.434 0.995 0.805
Ni10 0.447 0.250 0.596
Ni11 0.553 0.750 0.404
Ni12 0.566 0.005 0.195
Ni13 0.566 0.495 0.195
Ni14 0.596 0.250 0.984
Ni15 0.686 0.250 0.749
Ni16 0.814 0.750 0.249
Ni17 0.904 0.750 0.484
Ni18 0.934 0.505 0.695
Ni19 0.934 0.995 0.695
Ni20 0.947 0.250 0.904

Results
The calculation puts the formation energy from the elements at -378 meV/atom. The volume comes out at 391.3 Å³ per cell. The symmetry is Pnma.



[5]
Entry from Alexandria: a relaxed structure of Tb5Tm4Mg (PBE).

a = 7.787 Å, b = 7.787 Å, c = 7.787 Å
α = 99.04°, β = 99.04°, γ = 133.30°
Fractional coordinates of all 10 atoms:
Tb1 0.000 0.000 0.000
Tb2 0.076 0.449 0.919
Tb3 0.157 0.076 0.627
Tb4 0.449 0.530 0.373
Tb5 0.530 0.157 0.081
Tm1 0.141 0.755 0.301
Tm2 0.454 0.840 0.699
Tm3 0.755 0.454 0.614
Tm4 0.840 0.141 0.386
Mg1 0.539 0.539 0.000

Results
The calculation puts the formation energy from the elements at 291 meV/atom. The volume comes out at 315.5 Å³ per cell. The symmetry is I4.



[6]
Entry from Alexandria: a relaxed structure of KZr2Cd (PBE).

a = 4.534 Å, b = 4.534 Å, c = 5.045 Å
α = 90.00°, β = 90.00°, γ = 90.00°
Fractional coordinates of all 4 atoms:
K1 0.000 0.000 0.000
Zr1 0.000 0.500 0.500
Zr2 0.500 0.000 0.500
Cd1 0.500 0.500 0.000

Results
The calculation puts the formation energy from the elements at 730 meV/atom. The volume comes out at 103.7 Å³ per cell. The symmetry is P4/mmm.



[7]
Entry from Alexandria: a relaxed structure of SrTl2Ru (PBE).

a = 4.773 Å, b = 4.773 Å, c = 8.423 Å
α = 90.00°, β = 90.00°, γ = 90.00°
Fractional coordinates of all 8 atoms:
Sr1 0.000 0.000 0.000
Sr2 0.500 0.500 0.500
Tl1 0.000 0.500 0.250
Tl2 0.000 0.500 0.750
Tl3 0.500 0.000 0.250
Tl4 0.500 0.000 0.750
Ru1 0.000 0.000 0.500
Ru2 0.500 0.500 0.000

Results
The calculation puts the formation energy from the elements at 252 meV/atom. The volume comes out at 191.9 Å³ per cell. The symmetry is I4/mmm.



[8]
Entry from Alexandria: a relaxed structure of BaP2Ru2 (PBE).

a = 7.742 Å, b = 6.696 Å, c = 6.096 Å
α = 74.33°, β = 56.38°, γ = 49.29°
Fractional coordinates of all 10 atoms:
Ba1 0.125 0.125 0.125
Ba2 0.875 0.875 0.875
P1 0.194 0.556 0.194
P2 0.444 0.806 0.444
P3 0.556 0.194 0.556
P4 0.806 0.444 0.806
Ru1 0.251 0.251 0.499
Ru2 0.499 0.499 0.251
Ru3 0.501 0.501 0.749
Ru4 0.749 0.749 0.501

Results
The calculation puts the formation energy from the elements at -837 meV/atom. The volume comes out at 197.4 Å³ per cell. The symmetry is Fddd.



[9]
Entry from Alexandria: a relaxed structure of Li4TiS4 (PBE).

a = 14.316 Å, b = 7.813 Å, c = 6.226 Å
α = 90.00°, β = 90.00°, γ = 90.00°
Fractional coordinates of all 36 atoms:
Li1 0.000 0.000 0.000
Li2 0.000 0.500 0.000
Li3 0.087 0.250 0.368
Li4 0.179 0.000 0.814
Li5 0.179 0.500 0.814
Li6 0.321 0.000 0.314
Li7 0.321 0.500 0.314
Li8 0.413 0.750 0.868
Li9 0.500 0.000 0.500
Li10 0.500 0.500 0.500
Li11 0.587 0.250 0.132
Li12 0.679 0.000 0.686
Li13 0.679 0.500 0.686
Li14 0.821 0.000 0.186
Li15 0.821 0.500 0.186
Li16 0.913 0.750 0.632
Ti1 0.087 0.750 0.351
Ti2 0.413 0.250 0.851
Ti3 0.587 0.750 0.149
Ti4 0.913 0.250 0.649
S1 0.064 0.250 0.762
S2 0.082 0.750 0.715
S3 0.156 0.510 0.218
S4 0.156 0.990 0.218
S5 0.344 0.010 0.718
S6 0.344 0.490 0.718
S7 0.418 0.250 0.215
S8 0.436 0.750 0.262
S9 0.564 0.250 0.738
S10 0.582 0.750 0.785
S11 0.656 0.510 0.282
S12 0.656 0.990 0.282
S13 0.844 0.010 0.782
S14 0.844 0.490 0.782
S15 0.918 0.250 0.285
S16 0.936 0.750 0.238

Results
For the uncorrected formation energy, the calculation gives -1.325 eV/atom. The volume comes out at 696.3 Å³ per cell. The symmetry is Pnma.



[10]
Entry from Alexandria: a relaxed structure of Mn2SiNiHg (PBE).

a = 4.491 Å, b = 4.491 Å, c = 4.242 Å
α = 90.00°, β = 90.00°, γ = 90.00°
Fractional coordinates of all 5 atoms:
Mn1 0.000 0.500 0.000
Mn2 0.500 0.000 0.000
Si1 0.000 0.000 0.000
Ni1 0.000 0.000 0.500
Hg1 0.500 0.500 0.500

Results
For the uncorrected formation energy, the calculation gives 0.430 eV/atom. The volume comes out at 85.6 Å³ per cell. The symmetry is P4/mmm.



[11]
Entry from Alexandria: a relaxed structure of Nb2GeH (PBE).

a = 6.159 Å, b = 6.159 Å, c = 5.922 Å
α = 90.00°, β = 90.00°, γ = 90.00°
Fractional coordinates of all 16 atoms:
Nb1 0.163 0.250 0.125
Nb2 0.250 0.663 0.375
Nb3 0.250 0.837 0.875
Nb4 0.337 0.250 0.625
Nb5 0.663 0.750 0.625
Nb6 0.750 0.163 0.875
Nb7 0.750 0.337 0.375
Nb8 0.837 0.750 0.125
Ge1 0.000 0.000 0.500
Ge2 0.000 0.500 0.750
Ge3 0.500 0.000 0.250
Ge4 0.500 0.500 0.000
H1 0.000 0.000 0.000
H2 0.000 0.500 0.250
H3 0.500 0.000 0.750
H4 0.500 0.500 0.500

Results
The volume comes out at 224.7 Å³ per cell. The symmetry is I-42d.



[12]
Entry from Alexandria: a relaxed structure of ZrAlRe2 (PBE).

a = 9.518 Å, b = 3.273 Å, c = 4.605 Å
α = 90.00°, β = 111.96°, γ = 90.00°
Fractional coordinates of all 8 atoms:
Zr1 0.000 0.000 0.000
Zr2 0.500 0.500 0.000
Al1 0.000 0.500 0.500
Al2 0.500 0.000 0.500
Re1 0.249 0.000 0.726
Re2 0.251 0.500 0.274
Re3 0.749 0.500 0.726
Re4 0.751 0.000 0.274

Results
The calculation puts the formation energy from the elements at -67 meV/atom. The volume comes out at 133.0 Å³ per cell. The symmetry is C2/m.



no.,DFT total energy (eV/atom),size of the total moment (Bohr magnetons per cell)
1,-3.73,0.00
2,-4.62,0.00
3,-7.49,23.11
4,-5.72,0.00
5,-3.97,0.00
6,-4.05,0.00
7,-3.67,0.70
8,-7.10,0.00
9,-4.89,0.00
10,-5.54,6.65
11,-7.18,0.00
12,-9.36,0.00